Here is a relaxed TiTlTc3 crystal from Alexandria. Energies are from PBE.

a = 4.924 Å, b = 4.924 Å, c = 4.924 Å
α = 90.00°, β = 90.00°, γ = 90.00°
Sites, in units of the cell vectors:
Ti (0.000, 0.000, 0.000)
Tl (0.500, 0.500, 0.500)
Tc (0.000, 0.500, 0.500)
Tc (0.500, 0.000, 0.500)
Tc (0.500, 0.500, 0.000)

Computed properties:
**Energy above the most stable polymorph in this dataset**: 1.193 eV/atom
**ΔE_f**: 2475 meV/atom
**Crystal system**: cubic